Crystalline AcPmNi at its relaxed geometry, computed with GGA-PBE.

Summary:
E_form = -0.09 eV/atom
space-group type = I4mm

```
3
Lattice="-1.8185 1.8185 6.5766 1.8185 -1.8185 6.5766 1.8185 1.8185 -6.5766" Properties=species:S:1:pos:R:3 pbc="T T T"
Ac 0.0000 0.0000 0.0000
Pm 0.0000 0.0000 3.3967
Ni 0.0000 0.0000 8.4996
```